8
Lattice="-1.5792 -6.6650 -3.3462 6.8312 -2.6651 2.0846 1.0944 -5.9787 2.7085" Properties=species:S:1:pos:R:3 comment="La2MoF GGA+U relaxed" total_energy_ev_per_cell=-43.176 magmom_total_mub_per_cell=6.0 spacegroup=I-42d crystal_system=tetragonal pbc="T T T"
La 4.2087 -4.5715 1.2716
F 5.2758 -6.6545 2.0812
F 2.6260 -4.6651 -0.6308
Mo 0.0000 0.0000 0.0000
Mo 1.0706 -8.6544 -0.6342
La 4.8240 -12.4168 0.7467
La 3.3827 -8.2139 1.7390
La 0.2774 -5.4155 -0.8635